Here is a relaxed RbPrB4 crystal from the Open Quantum Materials Database. Energies are from PBE.

```
RbPrB4
1.0
-1.5700 4.1013 4.1030
1.5700 -4.1013 4.1030
1.5700 4.1013 -4.1030
Rb Pr B
1 1 4
Direct
0.0000 0.0000 0.0000
0.5000 0.0000 0.5000
0.0162 0.2610 0.7552
0.4941 0.7390 0.7552
0.5059 0.2610 0.2448
0.9838 0.7390 0.2448
```

Theoretical density in g/cm3: 4.24
Energy above the lowest structure with this stoichiometry in meV/atom: 0.0
Total energy in eV per atom: -5.269
Spin magnetization in μB/cell: 0.0